# FeAu2Br

A relaxed structure of FeAu2Br (PBE, Alexandria via LeMat-Bulk).

Values from the calculation:
Fermi-level density of states ... 3.89 states/eV/f.u.
E_tot ... -15.33 eV per cell
V ... 19.084 Å³ per atom
Distance to the lowest polymorph of the same formula ... 202 meV per atom
E_form (uncorrected) ... 0.3404 eV/atom

Lattice parameters (Å, degrees): 3.216 3.216 7.381 90.00 90.00 90.00
Positions (direct):
Fe (0.000, 0.000, 0.000)
Au (0.500, 0.500, 0.208)
Au (0.500, 0.500, 0.792)
Br (0.000, 0.000, 0.500)

# FeAuBr2

A relaxed structure of FeAuBr2 (PBE, Alexandria via LeMat-Bulk).

Values from the calculation:
Fermi-level density of states ... 2.72 states/eV/f.u.
E_tot ... -13.83 eV per cell
V ... 25.081 Å³ per atom
Distance to the lowest polymorph of the same formula ... 322 meV per atom
E_form (uncorrected) ... 0.3136 eV/atom

Lattice parameters (Å, degrees): 3.146 3.146 10.137 90.00 90.00 90.00
Positions (direct):
Fe (0.000, 0.000, 0.000)
Au (0.000, 0.000, 0.500)
Br (0.500, 0.500, 0.160)
Br (0.500, 0.500, 0.840)

# FeAu2Br

A relaxed structure of FeAu2Br (PBE, Alexandria via LeMat-Bulk).

Values from the calculation:
Fermi-level density of states ... 3.28 states/eV/f.u.
E_tot ... -16.09 eV per cell
V ... 21.440 Å³ per atom
Distance to the lowest polymorph of the same formula ... 12 meV per atom
E_form (uncorrected) ... 0.1502 eV/atom

Lattice parameters (Å, degrees): 3.717 3.208 7.193 90.00 90.22 90.00
Positions (direct):
Fe (0.000, 0.000, 0.000)
Au (0.499, 0.500, 0.834)
Au (0.997, 0.000, 0.630)
Br (0.002, 0.500, 0.266)

# FeAuBr2

A relaxed structure of FeAuBr2 (PBE, Alexandria via LeMat-Bulk).

Values from the calculation:
Fermi-level density of states ... 1.10 states/eV/f.u.
E_tot ... -14.00 eV per cell
V ... 23.750 Å³ per atom
Distance to the lowest polymorph of the same formula ... 281 meV per atom
E_form (uncorrected) ... 0.2725 eV/atom

Lattice parameters (Å, degrees): 9.686 9.686 9.686 20.22 20.22 20.22
Positions (direct):
Fe (0.000, 0.000, 0.000)
Au (0.500, 0.500, 0.500)
Br (0.382, 0.382, 0.382)
Br (0.618, 0.618, 0.618)

# FeAu2Br

A relaxed structure of FeAu2Br (PBE, Alexandria via LeMat-Bulk).

Values from the calculation:
Fermi-level density of states ... 2.96 states/eV/f.u.
E_tot ... -15.54 eV per cell
V ... 20.475 Å³ per atom
Distance to the lowest polymorph of the same formula ... 150 meV per atom
E_form (uncorrected) ... 0.2876 eV/atom

Lattice parameters (Å, degrees): 2.876 2.876 9.905 90.00 90.00 90.00
Positions (direct):
Fe (0.000, 0.000, 0.000)
Au (0.500, 0.500, 0.185)
Au (0.500, 0.500, 0.815)
Br (0.000, 0.000, 0.500)

# FeAu2Br

A relaxed structure of FeAu2Br (PBE, Alexandria via LeMat-Bulk).

Values from the calculation:
Fermi-level density of states ... 4.16 states/eV/f.u.
E_tot ... -29.79 eV per cell
V ... 21.833 Å³ per atom
Distance to the lowest polymorph of the same formula ... 311 meV per atom
E_form (uncorrected) ... 0.4493 eV/atom

Lattice parameters (Å, degrees): 6.445 6.445 6.445 98.39 98.39 135.09
Positions (direct):
Fe (0.000, 0.000, 0.000)
Fe (0.750, 0.250, 0.500)
Au (0.051, 0.625, 0.926)
Au (0.375, 0.301, 0.426)
Au (0.699, 0.125, 0.074)
Au (0.875, 0.949, 0.574)
Br (0.250, 0.750, 0.500)
Br (0.500, 0.500, 0.000)

# FeAuBr5

A relaxed structure of FeAuBr5 (PBE, Alexandria via LeMat-Bulk).

Values from the calculation:
Fermi-level density of states ... 1.78 states/eV/f.u.
E_tot ... -44.16 eV per cell
V ... 35.227 Å³ per atom
E_form (uncorrected) ... -0.2823 eV/atom

Lattice parameters (Å, degrees): 7.763 7.763 9.566 107.34 107.34 102.98
Positions (direct):
Fe (0.109, 0.891, 0.750)
Fe (0.891, 0.109, 0.250)
Au (0.500, 0.500, 0.000)
Au (0.500, 0.500, 0.500)
Br (0.167, 0.234, 0.842)
Br (0.204, 0.776, 0.544)
Br (0.224, 0.796, 0.956)
Br (0.234, 0.167, 0.342)
Br (0.416, 0.584, 0.250)
Br (0.584, 0.416, 0.750)
Br (0.766, 0.833, 0.658)
Br (0.776, 0.204, 0.044)
Br (0.796, 0.224, 0.456)
Br (0.833, 0.766, 0.158)

# Fe3AuBr9

A relaxed structure of Fe3AuBr9 (PBE, Alexandria via LeMat-Bulk).

Values from the calculation:
Fermi-level density of states ... 6.39 states/eV/f.u.
E_tot ... -97.34 eV per cell
V ... 39.944 Å³ per atom
E_form (uncorrected) ... -0.3807 eV/atom

Lattice parameters (Å, degrees): 10.883 10.883 14.604 126.36 126.36 53.36
Positions (direct):
Fe (0.065, 0.935, 0.500)
Fe (0.261, 0.507, 0.547)
Fe (0.507, 0.261, 0.047)
Fe (0.686, 0.899, 0.158)
Fe (0.899, 0.686, 0.658)
Fe (0.935, 0.065, 0.000)
Au (0.335, 0.913, 0.183)
Au (0.913, 0.335, 0.683)
Br (0.057, 0.069, 0.703)
Br (0.063, 0.659, 0.406)
Br (0.069, 0.057, 0.203)
Br (0.080, 0.799, 0.867)
Br (0.092, 0.438, 0.559)
Br (0.257, 0.429, 0.950)
Br (0.280, 0.925, 0.499)
Br (0.398, 0.661, 0.736)
Br (0.429, 0.257, 0.450)
Br (0.438, 0.092, 0.059)
Br (0.598, 0.737, 0.155)
Br (0.659, 0.063, 0.906)
Br (0.661, 0.398, 0.236)
Br (0.727, 0.871, 0.563)
Br (0.737, 0.598, 0.655)
Br (0.799, 0.080, 0.367)
Br (0.871, 0.727, 0.063)
Br (0.925, 0.280, 0.999)

# FeAuBr2

A relaxed structure of FeAuBr2 (PBE, Alexandria via LeMat-Bulk).

Values from the calculation:
Fermi-level density of states ... 3.15 states/eV/f.u.
E_tot ... -28.32 eV per cell
V ... 27.722 Å³ per atom
Distance to the lowest polymorph of the same formula ... 240 meV per atom
E_form (uncorrected) ... 0.2312 eV/atom

Lattice parameters (Å, degrees): 7.226 7.226 7.226 129.03 129.03 74.96
Positions (direct):
Fe (0.000, 0.000, 0.000)
Fe (0.750, 0.250, 0.500)
Au (0.250, 0.750, 0.500)
Au (0.500, 0.500, 0.000)
Br (0.080, 0.625, 0.955)
Br (0.375, 0.330, 0.455)
Br (0.670, 0.125, 0.045)
Br (0.875, 0.920, 0.545)

# FeAu4Br

A relaxed structure of FeAu4Br (PBE, Alexandria via LeMat-Bulk).

Values from the calculation:
Fermi-level density of states ... 5.64 states/eV/f.u.
E_tot ... -20.68 eV per cell
V ... 20.359 Å³ per atom
E_form (uncorrected) ... 0.4282 eV/atom

Lattice parameters (Å, degrees): 5.569 5.569 5.569 60.00 60.00 60.00
Positions (direct):
Fe (0.000, 0.000, 0.000)
Au (0.124, 0.625, 0.625)
Au (0.625, 0.124, 0.625)
Au (0.625, 0.625, 0.124)
Au (0.625, 0.625, 0.625)
Br (0.250, 0.250, 0.250)

# Fe3AuBr

A relaxed structure of Fe3AuBr (PBE, Alexandria via LeMat-Bulk).

Values from the calculation:
Fermi-level density of states ... 2.62 states/eV/f.u.
E_tot ... -25.12 eV per cell
V ... 16.596 Å³ per atom
Distance to the lowest polymorph of the same formula ... 0 meV per atom
E_form (uncorrected) ... 1.0432 eV/atom

Lattice parameters (Å, degrees): 4.362 4.362 4.362 90.00 90.00 90.00
Positions (direct):
Fe (0.000, 0.000, 0.500)
Fe (0.000, 0.500, 0.000)
Fe (0.500, 0.000, 0.000)
Au (0.500, 0.500, 0.500)
Br (0.000, 0.000, 0.000)

# FeAuBr2

A relaxed structure of FeAuBr2 (PBE, Alexandria via LeMat-Bulk).

Values from the calculation:
Fermi-level density of states ... 2.45 states/eV/f.u.
E_tot ... -14.80 eV per cell
V ... 26.325 Å³ per atom
Distance to the lowest polymorph of the same formula ... 80 meV per atom
E_form (uncorrected) ... 0.0717 eV/atom

Lattice parameters (Å, degrees): 7.483 7.483 7.483 153.86 145.12 44.11
Positions (direct):
Fe (0.000, 0.000, 0.000)
Au (0.500, 0.500, 0.000)
Br (0.141, 0.641, 0.500)
Br (0.859, 0.359, 0.500)

# FeAu2Br

A relaxed structure of FeAu2Br (PBE, Alexandria via LeMat-Bulk).

Values from the calculation:
Fermi-level density of states ... 2.86 states/eV/f.u.
E_tot ... -16.14 eV per cell
V ... 23.855 Å³ per atom
Distance to the lowest polymorph of the same formula ... 0 meV per atom
E_form (uncorrected) ... 0.1380 eV/atom

Lattice parameters (Å, degrees): 4.749 4.749 6.649 98.69 98.69 40.14
Positions (direct):
Fe (0.000, 0.000, 0.000)
Au (0.269, 0.269, 0.864)
Au (0.528, 0.528, 0.684)
Br (0.579, 0.579, 0.283)

# FeAuBr4

A relaxed structure of FeAuBr4 (PBE, Alexandria via LeMat-Bulk).

Values from the calculation:
Fermi-level density of states ... 0.40 states/eV/f.u.
E_tot ... -40.57 eV per cell
V ... 34.761 Å³ per atom
Distance to the lowest polymorph of the same formula ... 0 meV per atom
E_form (uncorrected) ... -0.3093 eV/atom

Lattice parameters (Å, degrees): 6.159 6.159 10.995 90.00 90.00 90.00
Positions (direct):
Fe (0.000, 0.500, 0.250)
Fe (0.500, 0.000, 0.750)
Au (0.000, 0.000, 0.000)
Au (0.000, 0.000, 0.500)
Br (0.234, 0.282, 0.371)
Br (0.234, 0.718, 0.129)
Br (0.282, 0.234, 0.871)
Br (0.282, 0.766, 0.629)
Br (0.718, 0.234, 0.629)
Br (0.718, 0.766, 0.871)
Br (0.766, 0.282, 0.129)
Br (0.766, 0.718, 0.371)

# FeAu2Br

A relaxed structure of FeAu2Br (PBE, Alexandria via LeMat-Bulk).

Values from the calculation:
Fermi-level density of states ... 3.50 states/eV/f.u.
E_tot ... -15.34 eV per cell
V ... 19.158 Å³ per atom
Distance to the lowest polymorph of the same formula ... 201 meV per atom
E_form (uncorrected) ... 0.3386 eV/atom

Lattice parameters (Å, degrees): 9.590 9.590 9.590 18.39 18.39 18.39
Positions (direct):
Fe (0.000, 0.000, 0.000)
Au (0.262, 0.262, 0.262)
Au (0.738, 0.738, 0.738)
Br (0.500, 0.500, 0.500)

# FeAu2Br

A relaxed structure of FeAu2Br (PBE, Alexandria via LeMat-Bulk).

Values from the calculation:
Fermi-level density of states ... 2.31 states/eV/f.u.
E_tot ... -15.76 eV per cell
V ... 20.330 Å³ per atom
Distance to the lowest polymorph of the same formula ... 95 meV per atom
E_form (uncorrected) ... 0.2327 eV/atom

Lattice parameters (Å, degrees): 3.059 3.059 8.692 90.00 90.00 90.13
Positions (direct):
Fe (0.000, 0.000, 0.000)
Au (0.000, 0.000, 0.432)
Au (0.500, 0.500, 0.206)
Br (0.500, 0.500, 0.821)

# FeAuBr2

A relaxed structure of FeAuBr2 (PBE, Alexandria via LeMat-Bulk).

Values from the calculation:
Fermi-level density of states ... 2.58 states/eV/f.u.
E_tot ... -15.00 eV per cell
V ... 28.689 Å³ per atom
Distance to the lowest polymorph of the same formula ... 30 meV per atom
E_form (uncorrected) ... 0.0214 eV/atom

Lattice parameters (Å, degrees): 5.473 5.473 7.456 116.07 116.07 35.39
Positions (direct):
Fe (0.000, 0.000, 0.000)
Au (0.284, 0.284, 0.916)
Br (0.527, 0.527, 0.746)
Br (0.642, 0.642, 0.272)

# FeAuBr2

A relaxed structure of FeAuBr2 (PBE, Alexandria via LeMat-Bulk).

Values from the calculation:
Fermi-level density of states ... 5.90 states/eV/f.u.
E_tot ... -13.36 eV per cell
V ... 23.905 Å³ per atom
Distance to the lowest polymorph of the same formula ... 441 meV per atom
E_form (uncorrected) ... 0.4321 eV/atom

Lattice parameters (Å, degrees): 7.071 7.071 7.071 148.61 148.61 44.98
Positions (direct):
Fe (0.000, 0.000, 0.000)
Au (0.250, 0.750, 0.500)
Br (0.500, 0.500, 0.000)
Br (0.750, 0.250, 0.500)

# FeAuBr2

A relaxed structure of FeAuBr2 (PBE, Alexandria via LeMat-Bulk).

Values from the calculation:
Fermi-level density of states ... 4.67 states/eV/f.u.
E_tot ... -15.12 eV per cell
V ... 25.198 Å³ per atom
Distance to the lowest polymorph of the same formula ... 0 meV per atom
E_form (uncorrected) ... -0.0085 eV/atom

Lattice parameters (Å, degrees): 8.779 8.779 8.779 24.31 24.31 24.31
Positions (direct):
Fe (0.000, 0.000, 0.000)
Au (0.728, 0.728, 0.728)
Br (0.276, 0.276, 0.276)
Br (0.463, 0.463, 0.463)

# FeAuBr2

A relaxed structure of FeAuBr2 (PBE, Alexandria via LeMat-Bulk).

Values from the calculation:
Fermi-level density of states ... 3.48 states/eV/f.u.
E_tot ... -12.95 eV per cell
V ... 21.271 Å³ per atom
Distance to the lowest polymorph of the same formula ... 543 meV per atom
E_form (uncorrected) ... 0.5343 eV/atom

Lattice parameters (Å, degrees): 4.891 4.891 3.556 90.00 90.00 90.00
Positions (direct):
Fe (0.000, 0.000, 0.000)
Au (0.500, 0.500, 0.000)
Br (0.000, 0.500, 0.500)
Br (0.500, 0.000, 0.500)

# FeAuBr2

A relaxed structure of FeAuBr2 (PBE, Alexandria via LeMat-Bulk).

Values from the calculation:
Fermi-level density of states ... 5.92 states/eV/f.u.
E_tot ... -12.30 eV per cell
V ... 21.360 Å³ per atom
Distance to the lowest polymorph of the same formula ... 705 meV per atom
E_form (uncorrected) ... 0.6969 eV/atom

Lattice parameters (Å, degrees): 4.944 4.944 4.944 60.00 60.00 60.00
Positions (direct):
Fe (0.000, 0.000, 0.000)
Au (0.250, 0.250, 0.250)
Br (0.500, 0.500, 0.500)
Br (0.750, 0.750, 0.750)

# Fe3AuBr

A relaxed structure of Fe3AuBr (PBE, Alexandria via LeMat-Bulk).

Values from the calculation:
Fermi-level density of states ... 7.62 states/eV/f.u.
E_tot ... -24.41 eV per cell
V ... 23.274 Å³ per atom
Distance to the lowest polymorph of the same formula ... 142 meV per atom
E_form (uncorrected) ... 1.1852 eV/atom

Lattice parameters (Å, degrees): 4.882 4.882 4.882 90.00 90.00 90.00
Positions (direct):
Fe (0.000, 0.000, 0.500)
Fe (0.000, 0.500, 0.000)
Fe (0.500, 0.000, 0.000)
Au (0.000, 0.000, 0.000)
Br (0.500, 0.500, 0.500)

# FeAuBr2

A relaxed structure of FeAuBr2 (PBE, Alexandria via LeMat-Bulk).

Values from the calculation:
Fermi-level density of states ... 2.62 states/eV/f.u.
E_tot ... -15.06 eV per cell
V ... 25.756 Å³ per atom
Distance to the lowest polymorph of the same formula ... 14 meV per atom
E_form (uncorrected) ... 0.0057 eV/atom

Lattice parameters (Å, degrees): 3.961 3.473 7.737 90.00 104.59 90.00
Positions (direct):
Fe (0.000, 0.000, 0.000)
Au (0.450, 0.500, 0.897)
Br (0.119, 0.500, 0.243)
Br (0.843, 0.000, 0.681)

# FeAuBr2

A relaxed structure of FeAuBr2 (PBE, Alexandria via LeMat-Bulk).

Values from the calculation:
Fermi-level density of states ... 1.85 states/eV/f.u.
E_tot ... -14.27 eV per cell
V ... 23.408 Å³ per atom
Distance to the lowest polymorph of the same formula ... 211 meV per atom
E_form (uncorrected) ... 0.2028 eV/atom

Lattice parameters (Å, degrees): 3.355 3.355 8.317 90.00 90.00 90.00
Positions (direct):
Fe (0.000, 0.000, 0.000)
Au (0.500, 0.500, 0.180)
Br (0.000, 0.000, 0.382)
Br (0.500, 0.500, 0.813)

# FeAuBr2

A relaxed structure of FeAuBr2 (PBE, Alexandria via LeMat-Bulk).

Values from the calculation:
Fermi-level density of states ... 4.06 states/eV/f.u.
E_tot ... -14.02 eV per cell
V ... 24.338 Å³ per atom
Distance to the lowest polymorph of the same formula ... 275 meV per atom
E_form (uncorrected) ... 0.2668 eV/atom

Lattice parameters (Å, degrees): 10.002 10.002 10.002 19.48 19.48 19.48
Positions (direct):
Fe (0.000, 0.000, 0.000)
Au (0.500, 0.500, 0.500)
Br (0.286, 0.286, 0.286)
Br (0.714, 0.714, 0.714)

# FeAuBr2

A relaxed structure of FeAuBr2 (PBE, Alexandria via LeMat-Bulk).

Values from the calculation:
Fermi-level density of states ... 2.79 states/eV/f.u.
E_tot ... -14.63 eV per cell
V ... 27.515 Å³ per atom
Distance to the lowest polymorph of the same formula ... 123 meV per atom
E_form (uncorrected) ... 0.1145 eV/atom

Lattice parameters (Å, degrees): 3.861 3.861 9.028 90.00 90.00 125.16
Positions (direct):
Fe (0.000, 0.000, 0.000)
Au (0.500, 0.500, 0.801)
Br (0.000, 0.000, 0.588)
Br (0.500, 0.500, 0.190)

# FeAuBr4

A relaxed structure of FeAuBr4 (PBE, Alexandria via LeMat-Bulk).

Values from the calculation:
Fermi-level density of states ... 12.04 states/eV/f.u.
E_tot ... -11.61 eV per cell
V ... 27.226 Å³ per atom
Distance to the lowest polymorph of the same formula ... 1446 meV per atom
E_form (uncorrected) ... 1.1372 eV/atom

Lattice parameters (Å, degrees): 6.136 6.136 6.136 60.00 60.00 60.00
Positions (direct):
Fe (0.000, 0.000, 0.000)
Au (0.250, 0.250, 0.250)
Br (0.125, 0.625, 0.625)
Br (0.625, 0.125, 0.625)
Br (0.625, 0.625, 0.125)
Br (0.625, 0.625, 0.625)